VASP calculation (PBEsol) on BaTaBr2 after structural relaxation.

Output
Volume = 31.88 Å³ per atom
Energy relative to the lowest polymorph listed for this composition = 0.83 eV/f.u.
Symmetry = I-42d (122)
Formation energy (no corrections) = -0.002 eV/atom

Lattice parameters (Å, degrees): 9.2434 9.2434 9.2434 145.28 145.28 49.92
Closest atoms and distances in Å follow each position.
Positions (direct):
Ba 0.0000 0.0000 0.0000  4 Br 3.15
Ba 0.7500 0.2500 0.5000  4 Br 3.15
Ta 0.2500 0.7500 0.5000  4 Br 2.65
Ta 0.5000 0.5000 0.0000  4 Br 2.65
Br 0.2216 0.6250 0.0966  2 Ta 2.65
Br 0.3750 0.4716 0.5966  2 Ta 2.65
Br 0.5284 0.1250 0.9034  2 Ta 2.65
Br 0.8750 0.7784 0.4034  2 Ta 2.65

---

VASP calculation (PBEsol) on LaFe2Pb2 after structural relaxation.

Output
Volume = 22.27 Å³ per atom
Symmetry = I4/mmm (139)

Lattice parameters (Å, degrees): 6.7258 6.7258 6.7258 142.63 142.63 53.88
Closest atoms and distances in Å follow each position.
Positions (direct):
La 0.0000 0.0000 0.0000  8 Pb 3.39, 8 Fe 3.69
Fe 0.2500 0.7500 0.5000  4 Pb 2.63
Fe 0.7500 0.2500 0.5000  4 Pb 2.63
Pb 0.3759 0.3759 0.0000  4 Fe 2.63
Pb 0.6241 0.6241 0.0000  4 Fe 2.63

---

VASP calculation (PBEsol) on TaN2 after structural relaxation.

Output
Volume = 10.25 Å³ per atom
Symmetry = P6_3/mmc (194)
Formation energy (no corrections) = -0.664 eV/atom

Lattice parameters (Å, degrees): 3.0292 3.0292 7.7418 90.00 90.00 120.00
Closest atoms and distances in Å follow each position.
Positions (direct):
Ta 0.3333 0.6667 0.2500  6 N 2.14
Ta 0.6667 0.3333 0.7500  6 N 2.14
N 0.0000 0.0000 0.0903  1 N 1.40
N 0.0000 0.0000 0.4097  1 N 1.40
N 0.0000 0.0000 0.5903  1 N 1.40
N 0.0000 0.0000 0.9097  1 N 1.40

---

VASP calculation (PBEsol) on LuGaCoO4 after structural relaxation.

Output
Volume = 11.65 Å³ per atom
Symmetry = R3m (160)
Formation energy (no corrections) = -2.162 eV/atom

Lattice parameters (Å, degrees): 8.5457 8.5457 8.5457 22.70 22.70 22.70
Closest atoms and distances in Å follow each position.
Positions (direct):
Lu 0.0000 0.0000 0.0000  6 O 2.18-2.21
Ga 0.7857 0.7857 0.7857  5 O 1.91-1.94
Co 0.2154 0.2154 0.2154  4 O 1.94-2.00
O 0.1215 0.1215 0.1215  3 Ga 1.94
O 0.2933 0.2933 0.2933  1 Co 1.94
O 0.7091 0.7091 0.7091  1 Ga 1.91
O 0.8636 0.8636 0.8636  1 Ga 1.94, 3 Co 2.00

---

VASP calculation (PBEsol) on MnSeO3 after structural relaxation.

Output
Volume = 11.98 Å³ per atom
Symmetry = Pnma (62)
Formation energy (no corrections) = -1.008 eV/atom

Lattice parameters (Å, degrees): 6.0022 7.7549 5.1467 90.00 90.00 90.00
Closest atoms and distances in Å follow each position.
Positions (direct):
Mn 0.0000 0.0000 0.0000  6 O 2.13-2.25
Mn 0.0000 0.5000 0.0000  6 O 2.13-2.25
Mn 0.5000 0.0000 0.5000  6 O 2.13-2.25
Mn 0.5000 0.5000 0.5000  6 O 2.13-2.25
Se 0.0181 0.2500 0.4826  3 O 1.74-1.76
Se 0.4819 0.7500 0.9826  3 O 1.74-1.76
Se 0.5181 0.2500 0.0174  3 O 1.74-1.76
Se 0.9819 0.7500 0.5174  3 O 1.74-1.76
O 0.0752 0.2500 0.8143  1 Se 1.74
O 0.1815 0.0795 0.3635  1 Se 1.76
O 0.1815 0.4205 0.3635  1 Se 1.76
O 0.3185 0.5795 0.8635  1 Se 1.76
O 0.3185 0.9205 0.8635  1 Se 1.76
O 0.4248 0.7500 0.3143  1 Se 1.74
O 0.5752 0.2500 0.6857  1 Se 1.74
O 0.6815 0.0795 0.1365  1 Se 1.76
O 0.6815 0.4205 0.1365  1 Se 1.76
O 0.8185 0.5795 0.6365  1 Se 1.76
O 0.8185 0.9205 0.6365  1 Se 1.76
O 0.9248 0.7500 0.1857  1 Se 1.74

---

VASP calculation (PBEsol) on Sc2PtBr after structural relaxation.

Output
Volume = 19.35 Å³ per atom
Energy relative to the lowest polymorph listed for this composition = 0.00 eV/f.u.
Symmetry = I-4m2 (119)
Formation energy (no corrections) = -0.676 eV/atom

Lattice parameters (Å, degrees): 6.0029 6.0029 6.0029 143.13 143.13 53.13
Closest atoms and distances in Å follow each position.
Positions (direct):
Sc 0.0000 0.0000 0.0000  4 Br 2.68
Sc 0.7500 0.2500 0.5000  4 Pt 2.68
Pt 0.2500 0.7500 0.5000  4 Sc 2.68
Br 0.5000 0.5000 0.0000  4 Sc 2.68

---

VASP calculation (PBEsol) on Sc2SeBr after structural relaxation.

Output
Volume = 20.55 Å³ per atom
Energy relative to the lowest polymorph listed for this composition = 0.00 eV/f.u.
Symmetry = P4mm (99)
Formation energy (no corrections) = -1.311 eV/atom

Lattice parameters (Å, degrees): 3.6237 3.6237 6.2614 90.00 90.00 90.00
Closest atoms and distances in Å follow each position.
Positions (direct):
Sc 0.0000 0.0000 0.0000  4 Br 2.73, 1 Se 2.75
Sc 0.5000 0.5000 0.3018  4 Se 2.70, 1 Br 2.84
Se 0.0000 0.0000 0.4390  5 Sc 2.70-2.75
Br 0.5000 0.5000 0.8482  5 Sc 2.73-2.84

---

VASP calculation (PBEsol) on Al2CoTe after structural relaxation.

Output
Volume = 16.36 Å³ per atom
Symmetry = P4/mmm (123)
Formation energy (no corrections) = 0.294 eV/atom

Lattice parameters (Å, degrees): 3.8406 3.8406 4.4375 90.00 90.00 90.00
Closest atoms and distances in Å follow each position.
Positions (direct):
Al 0.0000 0.5000 0.0000  4 Al 2.72, 4 Co 2.93, 4 Te 2.93
Al 0.5000 0.0000 0.0000  4 Al 2.72, 4 Co 2.93, 4 Te 2.93
Co 0.0000 0.0000 0.5000  4 Te 2.72, 8 Al 2.93
Te 0.5000 0.5000 0.5000  4 Co 2.72, 8 Al 2.93

---

VASP calculation (PBEsol) on EuSnF7 after structural relaxation.

Output
Volume = 15.21 Å³ per atom
Energy relative to the lowest polymorph listed for this composition = 0.00 eV/f.u.
Symmetry = P2_1/c (14)
Formation energy (no corrections) = -2.994 eV/atom

Lattice parameters (Å, degrees): 9.0371 5.6477 12.1390 90.00 117.90 90.00
Closest atoms and distances in Å follow each position.
Positions (direct):
Eu 0.1877 0.2420 0.2655  8 F 2.22-2.39
Eu 0.1877 0.2580 0.7655  8 F 2.22-2.39
Eu 0.8123 0.7420 0.2345  8 F 2.22-2.39
Eu 0.8123 0.7580 0.7345  8 F 2.22-2.39
Sn 0.2728 0.7440 0.0432  6 F 1.97-1.99
Sn 0.2728 0.7560 0.5432  6 F 1.97-1.99
Sn 0.7272 0.2440 0.4568  6 F 1.97-1.99
Sn 0.7272 0.2560 0.9568  6 F 1.97-1.99
F 0.0255 0.7413 0.9461  1 Sn 1.98
F 0.0255 0.7587 0.4461  1 Sn 1.98
F 0.0331 0.5861 0.7345  2 Eu 2.22-2.24
F 0.0331 0.9139 0.2345  2 Eu 2.22-2.24
F 0.2553 0.5493 0.1731  1 Sn 1.99
F 0.2553 0.9507 0.6731  1 Sn 1.99
F 0.2704 0.0254 0.1399  1 Sn 1.98
F 0.2704 0.4746 0.6399  1 Sn 1.98
F 0.2818 0.0509 0.4568  1 Sn 1.99
F 0.2818 0.4491 0.9568  1 Sn 1.99
F 0.2906 0.5508 0.4178  1 Sn 1.98
F 0.2906 0.9492 0.9178  1 Sn 1.98
F 0.4808 0.2293 0.3591  1 Sn 1.97
F 0.4808 0.2707 0.8591  1 Sn 1.97
F 0.5192 0.7293 0.1409  1 Sn 1.97
F 0.5192 0.7707 0.6409  1 Sn 1.97
F 0.7094 0.0508 0.0822  1 Sn 1.98
F 0.7094 0.4492 0.5822  1 Sn 1.98
F 0.7182 0.5509 0.0432  1 Sn 1.99
F 0.7182 0.9491 0.5432  1 Sn 1.99
F 0.7296 0.5254 0.3601  1 Sn 1.98
F 0.7296 0.9746 0.8601  1 Sn 1.98
F 0.7447 0.0493 0.3269  1 Sn 1.99
F 0.7447 0.4507 0.8269  1 Sn 1.99
F 0.9669 0.0861 0.7655  2 Eu 2.22-2.24
F 0.9669 0.4139 0.2655  2 Eu 2.22-2.24
F 0.9745 0.2413 0.5539  1 Sn 1.98
F 0.9745 0.2587 0.0539  1 Sn 1.98

---

VASP calculation (PBEsol) on Cs2TeIr after structural relaxation.

Output
Volume = 38.45 Å³ per atom
Symmetry = Fm-3m (225)
Formation energy (no corrections) = 0.833 eV/atom

Lattice parameters (Å, degrees): 6.0141 6.0141 6.0141 60.00 60.00 60.00
Closest atoms and distances in Å follow each position.
Positions (direct):
Cs 0.2500 0.2500 0.2500  4 Ir 3.68, 4 Te 3.68
Cs 0.7500 0.7500 0.7500  4 Ir 3.68, 4 Te 3.68
Te 0.0000 0.0000 0.0000  8 Cs 3.68
Ir 0.5000 0.5000 0.5000  8 Cs 3.68

---

VASP calculation (PBEsol) on YTa2In after structural relaxation.

Output
Volume = 20.97 Å³ per atom
Symmetry = P2/m (10)

Lattice parameters (Å, degrees): 3.0338 5.1828 5.3530 90.00 94.72 90.00
Closest atoms and distances in Å follow each position.
Positions (direct):
Y 0.0000 0.0000 0.0000  4 In 2.97-3.18, 2 Y 3.03, 4 Ta 3.14
Ta 0.3530 0.5000 0.7535  4 Ta 2.72-3.03, 2 In 2.98
Ta 0.6470 0.5000 0.2465  4 Ta 2.72-3.03, 2 In 2.98
In 0.5000 0.0000 0.5000  4 Y 2.97-3.18, 4 Ta 2.98, 2 In 3.03

---

VASP calculation (PBEsol) on NiAgPb2 after structural relaxation.

Output
Volume = 20.97 Å³ per atom
Energy relative to the lowest polymorph listed for this composition = 0.00 eV/f.u.
Symmetry = P4mm (99)

Lattice parameters (Å, degrees): 3.2410 3.2410 7.9869 90.00 90.00 90.00
Closest atoms and distances in Å follow each position.
Positions (direct):
Ni 0.0000 0.0000 0.0000  4 Ag 2.68, 4 Pb 2.79
Ag 0.5000 0.5000 0.8259  4 Ni 2.68, 1 Pb 2.99
Pb 0.0000 0.0000 0.5769  4 Ag 3.03, 4 Pb 3.24, 1 Ni 3.38
Pb 0.5000 0.5000 0.2001  4 Ni 2.79, 1 Ag 2.99

---

| no. | total magnetic moment (μB per atom) | raw total energy (eV per atom) |
| --- | --- | --- |
| 1 | 0.603 | -4.612 |
| 2 | 1.045 | -6.109 |
| 3 | 0.079 | -10.532 |
| 4 | 0.429 | -7.440 |
| 5 | 1.000 | -6.880 |
| 6 | 0.000 | -6.187 |
| 7 | 0.000 | -6.044 |
| 8 | 0.100 | -4.568 |
| 9 | 0.667 | -6.140 |
| 10 | 0.669 | -2.976 |
| 11 | 0.000 | -8.462 |
| 12 | 0.000 | -4.185 |